(1)
Tl3NiTe2O6: optimized geometry, PBE+U.

Calculated values
The calculation puts the density of states at the Fermi level at 4.409 states/eV/cell. The calculation puts the total energy at -54.44 eV for the cell shown. The space-group type is P-3m1, No. 164.

Unit cell a=5.954 b=5.954 c=7.405 alpha=90.00 beta=90.00 gamma=120.00
Fractional coordinates of all 12 atoms:
Tl (0.333, 0.667, 0.673)
Tl (0.667, 0.333, 0.327)
Tl (0.000, 0.000, 0.000)
Ni (0.000, 0.000, 0.500)
Te (0.667, 0.333, 0.789)
Te (0.333, 0.667, 0.211)
O (0.658, 0.829, 0.335)
O (0.171, 0.342, 0.335)
O (0.171, 0.829, 0.335)
O (0.829, 0.658, 0.665)
O (0.342, 0.171, 0.665)
O (0.829, 0.171, 0.665)

(2)
TmNi2TeO6: optimized geometry, PBE+U.

Calculated values
The calculation puts the density of states at the Fermi level at 1.936 states/eV/cell. The calculation puts the total energy at -59.01 eV for the cell shown. The space-group type is R3, No. 146.

Unit cell a=5.387 b=5.387 c=5.693 alpha=61.76 beta=61.76 gamma=60.00
Fractional coordinates of all 10 atoms:
Tm (0.808, 0.808, 0.577)
Ni (0.522, 0.522, 0.433)
Ni (0.015, 0.015, 0.954)
Te (0.317, 0.317, 0.048)
O (0.620, 0.229, 0.240)
O (0.229, 0.911, 0.240)
O (0.911, 0.620, 0.240)
O (0.392, 0.710, 0.761)
O (0.710, 0.137, 0.761)
O (0.138, 0.392, 0.761)